SrTa PBE relaxed; density = 7.194 g/cm3; DFT formation energy = 689.9 meV/atom; ΔE to the lowest computed polymorph = 191 meV per atom; DFT total energy = -36.46 eV for the cell shown; SG = No. 8; total magnetic moment = 0.0 Bohr magnetons per cell
1.0
6.712 -1.847 0.000
6.712 1.847 0.000
-2.132 0.000 7.500
Sr Ta
3 3
direct
0.000 0.000 0.000
0.018 0.018 0.482
0.298 0.298 0.631
0.305 0.305 0.150
0.689 0.689 0.258
0.696 0.696 0.919